GGA+U UVInO6, relaxed; calculated density = 7.2 g cm⁻³; SG = P-31c (163); spin magnetization = 2.00 μB per formula unit; electronic total energy = -7.940 eV per atom; volume = 231 Å³/cell
1.0
-5.0361 -1.5967 -1.2464
3.8157 -3.6913 1.1314
-2.2709 0.3337 8.7478
O U In V
12 2 2 2
Cartesian
-4.2391 -1.0234 2.4412
-2.3137 -1.4334 7.6317
-0.2340 -1.0367 5.8262
-1.5981 -4.4120 7.9311
-3.2573 -3.9176 2.8065
-1.1776 -3.5208 1.0010
-1.3122 -1.5686 3.2219
0.7478 -3.9309 6.1915
-2.1791 -3.3857 5.4109
-1.8932 -0.5422 0.7016
0.5487 -2.2582 8.4063
-4.0400 -2.6960 0.2265
-0.8381 -2.7428 6.8996
-2.6532 -2.2114 1.7331
-3.7887 -2.0446 6.1070
0.2974 -2.9097 2.5257
-1.1354 0.1669 4.3739
0.0000 0.0000 0.0000